(1)
A plane-wave DFT calculation with PBE-GGA was carried out for a relaxed structure of AcHI2.

Cell lengths 4.4033, 4.4033, 28.3253 Å; angles 90.00, 90.00, 120.00 degrees
Last column: nearest neighbours and their distance in Å.
Space group R-3m (No. 166, hexagonal axes)
Symmetry-distinct sites (fractional):
Ac  0.0000  0.0000  0.0000 x3  2 I 3.08
H  0.0000  0.0000  0.5000 x3  6 I 3.03
I  0.0000  0.0000  0.1088 x6  3 H 3.03, 1 Ac 3.08

Results
Relative energy among the computed polymorphs: 5.722 eV/f.u.
E: -0.093 Ha/atom

---

(2)
A plane-wave DFT calculation with PBE-GGA was carried out for a relaxed structure of Sm5Tm4Sc2.

Cell lengths 23.7490, 3.5178, 8.9029 Å; angles 90.00, 108.32, 90.00 degrees
Last column: nearest neighbours and their distance in Å.
Space group C2/m (No. 12)
Symmetry-distinct sites (fractional):
Sm  0.0000  0.0000  0.0000 x2  4 Tm 3.36, 6 Sm 3.52-3.60
Sm  0.1269  0.5000  0.9620 x4  4 Tm 3.34-3.61, 2 Sc 3.35, 4 Sm 3.52-3.60
Sm  0.1725  0.5000  0.4213 x4  2 Sc 3.42, 2 Sm 3.52, 4 Tm 3.55-3.76
Tm  0.0139  0.5000  0.3318 x4  4 Sc 3.25-3.28, 3 Tm 3.26-3.52, 4 Sm 3.36-3.60
Tm  0.2309  0.0000  0.8129 x4  1 Sc 3.10, 1 Sm 3.34
Sc  0.0968  0.0000  0.6251 x4  5 Tm 3.10-3.28, 4 Sm 3.35-3.42

Results
ΔH_f (0 K): 0.16 eV per atom
Relative energy among the computed polymorphs: 0.000 eV/f.u.
E: -0.175 Ha/atom